VASP calculation (PBE-GGA) on crystalline SiSeS2 at its relaxed geometry.

POSCAR file:
```
SiSeS2
1.0
-5.378 -0.028 3.803
-3.793 -0.422 -5.368
-4.431 -4.029 -0.592
S Si Se
4 2 2
Cartesian
-4.549 -1.075 1.279 S
-4.545 -1.276 -2.749 S
-7.041 -3.221 -1.425 S
-11.070 -3.384 -1.420 S
-4.585 -0.225 -0.782 Si
-6.405 -2.338 -3.371 Si
0.000 0.000 0.000 Se
-7.197 -2.141 1.214 Se
```

Results
DOS(E_F) = 7.398 states/eV/cell
Total magnetic moment = 0.00 μB per cell
SG = I-42d (122)
Crystal system = tetragonal
Polymorph energy (0 for the lowest one) = 0.252 eV per atom
Theoretical density = 3.4 g/cm³
Energy relative to the elements, uncorrected = 0.268 eV/atom